Entry 1:
# BaRu2

Crystalline BaRu2 at its relaxed geometry (PBE, Alexandria via LeMat-Bulk).

Cell: 4.0918 4.0919 5.3078 Å, 90.00 90.00 120.00°
Last column: nearest neighbours and their distance in Å.
Fractional coordinates of all 3 atoms:
1 Ru 0.3333 0.6666 0.4586  3 Ru 2.40
2 Ru 0.6667 0.3334 0.5414  3 Ru 2.40
3 Ba 0.0000 0.0000 0.0000  12 Ru 3.39-3.72

Properties
**M_tot**: 0.00 μB per formula unit
**Space-group type**: P-3m1 (164)
**Calculated volume**: 77.0 Å³ per cell
**Formation energy from the elements**: 0.411 eV/atom

Entry 2:
# RbYMoN3

Crystalline RbYMoN3 at its relaxed geometry (PBE, Alexandria via LeMat-Bulk).

Cell: 3.8993 7.0510 8.2945 Å, 103.47 90.00 106.05°
Last column: nearest neighbours and their distance in Å.
Fractional coordinates of all 12 atoms:
1 N 0.1620 0.3240 0.3720  1 Mo 2.04
2 Mo 0.9928 0.9855 0.6685  4 N 1.89-2.04
3 N 0.1327 0.2655 0.7739  1 Mo 1.89
4 N 0.8380 0.6760 0.6280  1 Mo 2.04
5 N 0.4872 0.9744 0.6457  2 Mo 1.96
6 Rb 0.6450 0.2900 0.0688  6 N 2.98-3.30
7 Mo 0.0072 0.0145 0.3315  4 N 1.89-2.04
8 Rb 0.3550 0.7100 0.9312  6 N 2.98-3.30
9 N 0.8673 0.7345 0.2261  1 Mo 1.89
10 Y 0.6620 0.3241 0.5802  3 N 2.32-2.56
11 N 0.5128 0.0256 0.3543  2 Mo 1.96
12 Y 0.3380 0.6759 0.4198  3 N 2.32-2.56

Properties
**M_tot**: 0.00 μB per formula unit
**Space-group type**: C2/m (12)
**VASP energy**: -7.73 eV/atom
**Calculated volume**: 212.6 Å³ per cell